# PBEsol Sr3Ru, optimized geometry
# crystal system: orthorhombic
# formation energy: 410 meV per atom
data_Sr3Ru
_chemical_formula_sum 'Sr6 Ru2'
_symmetry_space_group_name_H-M 'C m m m'
_symmetry_Int_Tables_number 65
_symmetry_space_group_name_Hall '-C 2 2'
_cell_length_a 5.2035
_cell_length_b 5.2114
_cell_length_c 10.1401
_cell_angle_alpha 90.00
_cell_angle_beta 90.00
_cell_angle_gamma 90.00
loop_
_atom_site_label
_atom_site_fract_x
_atom_site_fract_y
_atom_site_fract_z
Sr1 0.0000 0.0000 0.0000
Sr2 0.0000 0.5000 0.3335
Ru1 0.0000 0.0000 0.5000

***

# PBEsol SrTa2Ru, optimized geometry
# crystal system: cubic
# formation energy: 837 meV per atom
data_SrTa2Ru
_chemical_formula_sum 'Sr4 Ta8 Ru4'
_symmetry_space_group_name_H-M 'F -4 3 m'
_symmetry_Int_Tables_number 216
_symmetry_space_group_name_Hall 'F -4 2 3'
_cell_length_a 6.6992
_cell_length_b 6.6992
_cell_length_c 6.6992
_cell_angle_alpha 90.00
_cell_angle_beta 90.00
_cell_angle_gamma 90.00
loop_
_atom_site_label
_atom_site_fract_x
_atom_site_fract_y
_atom_site_fract_z
Sr1 0.0000 0.0000 0.0000
Ta1 0.0000 0.0000 0.5000
Ta2 0.2500 0.2500 0.2500
Ru1 0.2500 0.2500 0.7500

***

# PBEsol Sr2TaRu, optimized geometry
# crystal system: tetragonal
# formation energy: 1338 meV per atom
data_Sr2TaRu
_chemical_formula_sum 'Sr2 Ta1 Ru1'
_symmetry_space_group_name_H-M 'P 4/m m m'
_symmetry_Int_Tables_number 123
_symmetry_space_group_name_Hall '-P 4 2'
_cell_length_a 5.6183
_cell_length_b 5.6183
_cell_length_c 3.0434
_cell_angle_alpha 90.00
_cell_angle_beta 90.00
_cell_angle_gamma 90.00
loop_
_atom_site_label
_atom_site_fract_x
_atom_site_fract_y
_atom_site_fract_z
Sr1 0.0000 0.5000 0.0000
Ta1 0.0000 0.0000 0.5000
Ru1 0.5000 0.5000 0.5000

***

# PBEsol SrTa2Ru, optimized geometry
# crystal system: monoclinic
# formation energy: 838 meV per atom
data_SrTa2Ru
_chemical_formula_sum 'Sr2 Ta4 Ru2'
_symmetry_space_group_name_H-M 'C 1 2/m 1'
_symmetry_Int_Tables_number 12
_cell_length_a 5.5660
_cell_length_b 9.8731
_cell_length_c 2.8575
_cell_angle_alpha 90.00
_cell_angle_beta 108.06
_cell_angle_gamma 90.00
loop_
_symmetry_equiv_pos_as_xyz
'x,y,z'
'-x,-y,-z'
'-x,y,-z'
'x,-y,z'
'x+1/2,y+1/2,z'
'-x+1/2,-y+1/2,-z'
'-x+1/2,y+1/2,-z'
'x+1/2,-y+1/2,z'
loop_
_atom_site_label
_atom_site_fract_x
_atom_site_fract_y
_atom_site_fract_z
Sr1 0.0000 0.0000 0.0000
Ta1 0.2500 0.2500 0.5000
Ru1 0.0000 0.5000 0.0000

***

# PBEsol SrTa2Ru, optimized geometry
# crystal system: orthorhombic
# formation energy: 495 meV per atom
data_SrTa2Ru
_chemical_formula_sum 'Sr1 Ta2 Ru1'
_symmetry_space_group_name_H-M 'P m m m'
_symmetry_Int_Tables_number 47
_cell_length_a 2.9967
_cell_length_b 3.6043
_cell_length_c 7.8775
_cell_angle_alpha 90.00
_cell_angle_beta 90.00
_cell_angle_gamma 90.00
loop_
_symmetry_equiv_pos_as_xyz
'x,y,z'
'-x,-y,-z'
'-x,-y,z'
'x,y,-z'
'x,-y,-z'
'-x,y,z'
'-x,y,-z'
'x,-y,z'
loop_
_atom_site_label
_atom_site_fract_x
_atom_site_fract_y
_atom_site_fract_z
Sr1 0.0000 0.0000 0.0000
Ta1 0.5000 0.5000 0.3313
Ru1 0.0000 0.0000 0.5000

***

# PBEsol SrTa3Ru, optimized geometry
# crystal system: cubic
# formation energy: 3168 meV per atom
data_SrTa3Ru
_chemical_formula_sum 'Sr1 Ta3 Ru1'
_symmetry_space_group_name_H-M 'P m -3 m'
_symmetry_Int_Tables_number 221
_symmetry_space_group_name_Hall '-P 4 2 3'
_cell_length_a 4.6745
_cell_length_b 4.6745
_cell_length_c 4.6745
_cell_angle_alpha 90.00
_cell_angle_beta 90.00
_cell_angle_gamma 90.00
loop_
_atom_site_label
_atom_site_fract_x
_atom_site_fract_y
_atom_site_fract_z
Sr1 0.0000 0.0000 0.0000
Ta1 0.0000 0.0000 0.5000
Ru1 0.5000 0.5000 0.5000

***

# PBEsol SrTcRu, optimized geometry
# crystal system: cubic
# formation energy: 2330 meV per atom
data_SrTcRu
_chemical_formula_sum 'Sr4 Tc4 Ru4'
_symmetry_space_group_name_H-M 'F -4 3 m'
_symmetry_Int_Tables_number 216
_symmetry_space_group_name_Hall 'F -4 2 3'
_cell_length_a 6.3580
_cell_length_b 6.3580
_cell_length_c 6.3580
_cell_angle_alpha 90.00
_cell_angle_beta 90.00
_cell_angle_gamma 90.00
loop_
_atom_site_label
_atom_site_fract_x
_atom_site_fract_y
_atom_site_fract_z
Sr1 0.0000 0.0000 0.0000
Tc1 0.2500 0.2500 0.2500
Ru1 0.2500 0.2500 0.7500

***

# PBEsol SrTc2Ru, optimized geometry
# crystal system: tetragonal
# formation energy: 580 meV per atom
data_SrTc2Ru
_chemical_formula_sum 'Sr1 Tc2 Ru1'
_symmetry_space_group_name_H-M 'P 4 m m'
_symmetry_Int_Tables_number 99
_cell_length_a 3.1228
_cell_length_b 3.1228
_cell_length_c 7.4641
_cell_angle_alpha 90.00
_cell_angle_beta 90.00
_cell_angle_gamma 90.00
loop_
_symmetry_equiv_pos_as_xyz
'x,y,z'
'-y,x,z'
'-x,-y,z'
'y,-x,z'
'-x,y,z'
'y,x,z'
'x,-y,z'
'-y,-x,z'
loop_
_atom_site_label
_atom_site_fract_x
_atom_site_fract_y
_atom_site_fract_z
Sr1 0.0000 0.0000 0.0000
Tc1 0.0000 0.0000 0.4973
Tc2 0.5000 0.5000 0.3328
Ru1 0.5000 0.5000 0.6939

***

# PBEsol SrTcTeRu2, optimized geometry
# crystal system: tetragonal
# E_form (uncorrected): 2735 meV per atom
data_SrTcTeRu2
_chemical_formula_sum 'Sr1 Tc1 Te1 Ru2'
_symmetry_space_group_name_H-M 'P 4/m m m'
_symmetry_Int_Tables_number 123
_symmetry_space_group_name_Hall '-P 4 2'
_cell_length_a 4.6904
_cell_length_b 4.6904
_cell_length_c 5.7308
_cell_angle_alpha 90.00
_cell_angle_beta 90.00
_cell_angle_gamma 90.00
loop_
_atom_site_label
_atom_site_fract_x
_atom_site_fract_y
_atom_site_fract_z
Sr1 0.0000 0.0000 0.0000
Tc1 0.5000 0.5000 0.5000
Te1 0.0000 0.0000 0.5000
Ru1 0.0000 0.5000 0.0000

***

# PBEsol Sr2TeRu, optimized geometry
# crystal system: orthorhombic
# E_form (uncorrected): -280 meV per atom
data_Sr2TeRu
_chemical_formula_sum 'Sr4 Te2 Ru2'
_symmetry_space_group_name_H-M 'I m m 2'
_symmetry_Int_Tables_number 44
_cell_length_a 3.5912
_cell_length_b 5.0303
_cell_length_c 12.5736
_cell_angle_alpha 90.00
_cell_angle_beta 90.00
_cell_angle_gamma 90.00
loop_
_symmetry_equiv_pos_as_xyz
'x,y,z'
'-x,-y,z'
'-x,y,z'
'x,-y,z'
'x+1/2,y+1/2,z+1/2'
'-x+1/2,-y+1/2,z+1/2'
'-x+1/2,y+1/2,z+1/2'
'x+1/2,-y+1/2,z+1/2'
loop_
_atom_site_label
_atom_site_fract_x
_atom_site_fract_y
_atom_site_fract_z
Sr1 0.0000 0.0000 0.0000
Sr2 0.0000 0.5000 0.2115
Te1 0.0000 0.5000 0.8253
Ru1 0.0000 0.0000 0.4748

***

# PBEsol SrTlRu3, optimized geometry
# crystal system: cubic
# formation energy: 1791 meV per atom
data_SrTlRu3
_chemical_formula_sum 'Sr1 Tl1 Ru3'
_symmetry_space_group_name_H-M 'P m -3 m'
_symmetry_Int_Tables_number 221
_symmetry_space_group_name_Hall '-P 4 2 3'
_cell_length_a 4.9900
_cell_length_b 4.9900
_cell_length_c 4.9900
_cell_angle_alpha 90.00
_cell_angle_beta 90.00
_cell_angle_gamma 90.00
loop_
_atom_site_label
_atom_site_fract_x
_atom_site_fract_y
_atom_site_fract_z
Sr1 0.0000 0.0000 0.0000
Tl1 0.5000 0.5000 0.5000
Ru1 0.0000 0.5000 0.5000

***

# PBEsol Sr2TlRu, optimized geometry
# crystal system: orthorhombic
# formation energy: 145 meV per atom
data_Sr2TlRu
_chemical_formula_sum 'Sr4 Tl2 Ru2'
_symmetry_space_group_name_H-M 'A m m 2'
_symmetry_Int_Tables_number 38
_cell_length_a 4.4190
_cell_length_b 4.6114
_cell_length_c 11.5983
_cell_angle_alpha 90.00
_cell_angle_beta 90.00
_cell_angle_gamma 90.00
loop_
_symmetry_equiv_pos_as_xyz
'x,y,z'
'-x,-y,z'
'-x,y,z'
'x,-y,z'
'x,y+1/2,z+1/2'
'-x,-y+1/2,z+1/2'
'-x,y+1/2,z+1/2'
'x,-y+1/2,z+1/2'
loop_
_atom_site_label
_atom_site_fract_x
_atom_site_fract_y
_atom_site_fract_z
Sr1 0.0000 0.0000 0.0000
Sr2 0.5000 0.0000 0.2838
Tl1 0.0000 0.0000 0.7065
Ru1 0.5000 0.0000 0.5774

***

Please write out number 11 again, unchanged.
# PBEsol SrTlRu3, optimized geometry
# crystal system: cubic
# formation energy: 1791 meV per atom
data_SrTlRu3
_chemical_formula_sum 'Sr1 Tl1 Ru3'
_symmetry_space_group_name_H-M 'P m -3 m'
_symmetry_Int_Tables_number 221
_symmetry_space_group_name_Hall '-P 4 2 3'
_cell_length_a 4.9900
_cell_length_b 4.9900
_cell_length_c 4.9900
_cell_angle_alpha 90.00
_cell_angle_beta 90.00
_cell_angle_gamma 90.00
loop_
_atom_site_label
_atom_site_fract_x
_atom_site_fract_y
_atom_site_fract_z
Sr1 0.0000 0.0000 0.0000
Tl1 0.5000 0.5000 0.5000
Ru1 0.0000 0.5000 0.5000